Er3Cu5S12 | PBE | optimized geometry

```
data_Er3Cu5S12
_cell_length_a 12.6676
_cell_length_b 12.6676
_cell_length_c 12.6676
_cell_angle_alpha 109.47
_cell_angle_beta 109.47
_cell_angle_gamma 109.47
_symmetry_space_group_name_H-M 'P 1'
_symmetry_Int_Tables_number 1
_symmetry_space_group_name_Hall 'P 1'
loop_
_atom_site_label
_atom_site_fract_x
_atom_site_fract_y
_atom_site_fract_z
_atom_site_occupancy
S1 0.5916 0.9676 0.6741 1
S2 0.4084 0.3760 0.5825 1
S3 0.5825 0.8760 0.4084 1
S4 0.4175 0.2935 0.3259 1
S5 0.1240 0.7065 0.5324 1
S6 0.6240 0.0324 0.2065 1
S7 0.2065 0.6741 0.0825 1
S8 0.6741 0.4676 0.5916 1
S9 0.4084 0.0324 0.3259 1
S10 0.0825 0.1741 0.2065 1
S11 0.9084 0.0825 0.8760 1
S12 0.3760 0.9676 0.7935 1
S13 0.7065 0.5825 0.1741 1
S14 0.4175 0.1240 0.5916 1
S15 0.2065 0.5324 0.6240 1
S16 0.3259 0.7935 0.4175 1
S17 0.4676 0.7935 0.8760 1
S18 0.0825 0.9084 0.3760 1
S19 0.8760 0.5825 0.9084 1
S20 0.0916 0.1741 0.4676 1
S21 0.7935 0.4676 0.3760 1
S22 0.8259 0.9175 0.2935 1
S23 0.2935 0.8760 0.9676 1
S24 0.9175 0.0916 0.6240 1
S25 0.3259 0.5324 0.4084 1
S26 0.9175 0.8259 0.7935 1
S27 0.0324 0.4084 0.8259 1
S28 0.3760 0.4084 0.0825 1
S29 0.9676 0.3760 0.2935 1
S30 0.5324 0.3259 0.9084 1
S31 0.1741 0.0825 0.7065 1
S32 0.0324 0.6240 0.7065 1
S33 0.6741 0.2065 0.5825 1
S34 0.2935 0.4175 0.8259 1
S35 0.6240 0.5916 0.9175 1
S36 0.5916 0.6240 0.4175 1
S37 0.0916 0.9175 0.1240 1
S38 0.8760 0.2935 0.4676 1
S39 0.7065 0.1240 0.0324 1
S40 0.5324 0.2065 0.1240 1
S41 0.1240 0.4175 0.0916 1
S42 0.9676 0.5916 0.1741 1
S43 0.4676 0.6741 0.0916 1
S44 0.5825 0.7065 0.6741 1
S45 0.8259 0.9084 0.0324 1
S46 0.1741 0.0916 0.9676 1
S47 0.7935 0.3259 0.9175 1
S48 0.9084 0.8259 0.5324 1
Cu1 0.5000 0.0000 0.0000 1
Cu2 0.2500 0.3750 0.6250 1
Cu3 0.0000 0.5000 0.0000 1
Cu4 0.0000 0.0000 0.0000 1
Cu5 0.5000 0.5000 0.0000 1
Cu6 0.1250 0.3750 0.2500 1
Cu7 0.2500 0.8750 0.1250 1
Cu8 0.3750 0.1250 0.7500 1
Cu9 0.6250 0.8750 0.2500 1
Cu10 0.7500 0.6250 0.3750 1
Cu11 0.5000 0.0000 0.5000 1
Cu12 0.8750 0.6250 0.7500 1
Cu13 0.0000 0.0000 0.5000 1
Cu14 0.8750 0.2500 0.6250 1
Cu15 0.5000 0.5000 0.5000 1
Cu16 0.6250 0.7500 0.8750 1
Cu17 0.1250 0.7500 0.3750 1
Cu18 0.0000 0.5000 0.5000 1
Cu19 0.7500 0.1250 0.8750 1
Cu20 0.3750 0.2500 0.1250 1
Er1 0.3750 0.7500 0.6250 1
Er2 0.7500 0.3750 0.1250 1
Er3 0.2500 0.1250 0.3750 1
Er4 0.3750 0.6250 0.2500 1
Er5 0.7500 0.8750 0.6250 1
Er6 0.1250 0.8750 0.7500 1
Er7 0.8750 0.1250 0.2500 1
Er8 0.6250 0.2500 0.3750 1
Er9 0.2500 0.6250 0.8750 1
Er10 0.8750 0.7500 0.1250 1
Er11 0.6250 0.3750 0.7500 1
Er12 0.1250 0.2500 0.8750 1
```

Computed properties:
The value obtained for the magnetization is 0.00 μB/cell. The calculation puts the energy relative to the elements, uncorrected at -0.679 eV per atom. The theoretical density is 5.11 g/cm³.